(A)
ZnI2BrN, relaxed, DFT PBE-GGA; space group = P4/mmm (123); density = 4892 kg/m³
1.0
-5.245 2.394 -2.210
-1.044 -5.202 -3.158
-1.839 -1.375 2.873
I Br Zn N
2 1 1 1
Cartesian
-0.522 -2.601 -1.579
-2.622 1.197 -1.105
-4.064 -2.092 -1.248
0.000 0.000 0.000
-0.919 -0.688 1.437


(B)
ZnI2BrN, relaxed, DFT PBE-GGA; space group = P4/mmm (123); density = 3312 kg/m³
1.0
7.617 0.000 0.000
0.000 7.617 0.000
0.000 0.000 3.570
Br Zn I N
1 1 2 1
Cartesian
0.000 0.000 0.000
3.808 3.808 1.785
3.808 0.000 0.000
0.000 3.808 0.000
0.000 0.000 1.785


(A) is the most stable structure; the next one sits 40.2 kJ/mol of atoms above it.


(A)
ZrI2BrN, relaxed, DFT PBE-GGA; space group = P4/mmm (123); density = 5151 kg/m³
1.0
-3.096 3.100 -4.401
-0.927 -5.308 -3.087
-3.133 -0.521 1.837
I N Zr Br
2 1 1 1
Cartesian
-0.463 -2.654 -1.543
-1.548 1.550 -2.201
-1.567 -0.261 0.918
-3.578 -1.365 -2.826
0.000 0.000 0.000


(B)
ZrI2BrN, relaxed, DFT PBE-GGA; space group = P4/mmm (123); density = 5024 kg/m³
1.0
5.981 0.000 0.000
0.000 5.981 0.000
0.000 0.000 4.056
I N Zr Br
2 1 1 1
Cartesian
2.990 0.000 0.000
0.000 2.990 0.000
0.000 0.000 2.028
0.000 0.000 0.000
2.990 2.990 2.028


(B) is the most stable structure; the next one sits 126.3 kJ/mol of atoms above it.


(A)
Na2IBr, relaxed, DFT PBE-GGA; space group = R3m (160); density = 3316 kg/m³
1.0
-0.893 3.274 2.726
1.668 0.000 4.021
6.446 4.917 -0.318
Na Br I
2 1 1
Cartesian
4.814 3.908 0.359
1.877 2.092 1.577
3.661 4.127 3.193
6.926 7.077 4.195


(B)
Na2IBr, relaxed, DFT PBE-GGA; space group = Fm-3m (225); density = 3534 kg/m³
1.0
0.000 3.902 3.902
3.902 0.000 3.902
3.902 3.902 0.000
Na Br I
2 1 1
Cartesian
5.852 5.852 5.852
1.951 1.951 1.951
0.000 0.000 0.000
3.902 3.902 3.902


(C)
Na2IBr, relaxed, DFT PBE-GGA; space group = I-42d (122); density = 2569 kg/m³
1.0
6.951 0.000 0.000
0.000 6.951 0.000
3.476 3.476 6.764
Na I Br
4 2 2
Cartesian
5.018 1.738 1.691
8.689 8.494 5.073
5.213 5.408 5.073
1.933 5.213 1.691
0.000 0.000 0.000
6.951 3.476 3.382
3.476 6.951 3.382
3.476 3.476 0.000


(A) is the most stable structure; the next one sits 0.5 kJ/mol of atoms above it.


(A)
Na2IBr, relaxed, DFT PBE-GGA; space group = P4/mmm (123); density = 3516 kg/m³
1.0
3.922 0.000 0.000
0.000 5.517 0.000
0.000 0.000 5.517
Na Br I
2 1 1
Cartesian
0.000 2.759 0.000
0.000 0.000 2.759
1.961 0.000 0.000
1.961 2.759 2.759


(B)
Na2IBr, relaxed, DFT PBE-GGA; space group = R-3m (166); density = 3380 kg/m³
1.0
-3.241 0.738 -2.948
1.418 -4.143 0.754
-3.267 0.150 6.977
Na Br I
2 1 1
Cartesian
-1.285 -2.687 0.741
-3.805 -0.567 4.041
-6.508 0.889 4.028
-0.925 -1.996 3.865


(B) is the most stable structure; the next one sits 15.4 kJ/mol of atoms above it.


(A)
Na2IBr6, relaxed, DFT PBE-GGA; space group = P2_1/c (14); density = 3338 kg/m³
1.0
7.207 0.339 0.000
-0.118 11.434 0.000
0.000 0.000 7.872
Br I Na
12 2 4
Cartesian
4.571 2.543 4.865
2.519 9.231 3.006
5.377 10.258 5.336
5.429 5.938 5.177
1.712 1.515 2.536
1.766 11.485 6.630
0.908 8.090 6.942
5.257 7.402 1.400
6.181 3.683 0.929
5.323 0.288 1.241
1.660 5.836 2.694
1.832 4.371 6.472
-0.059 5.717 0.000
3.604 0.169 3.936
7.028 8.068 3.951
3.483 2.181 7.856
0.061 3.705 3.921
3.606 9.592 0.015


(B)
Na2IBr6, relaxed, DFT PBE-GGA; space group = P2_1/c (14); density = 3259 kg/m³
1.0
-1.849 -2.018 6.875
7.067 -2.480 1.173
3.484 11.138 2.555
Br Na I
12 4 2
Cartesian
3.098 7.077 3.064
1.794 -1.023 1.763
6.690 6.697 5.117
5.550 -1.106 3.286
1.894 3.788 6.359
6.908 7.664 8.841
3.002 2.952 2.713
3.152 7.746 7.318
5.604 -0.436 7.539
5.699 3.689 7.890
6.807 2.852 4.245
2.012 -0.056 5.487
4.269 5.839 9.177
4.433 0.802 1.427
0.478 2.322 3.968
8.223 4.319 6.636
1.742 5.569 1.278
2.609 -2.249 4.024


(B) is the most stable structure; the next one sits 0.7 kJ/mol of atoms above it.


(A)
Na3IBr, relaxed, DFT PBE-GGA; space group = Pm-3m (221); density = 2387 kg/m³
1.0
5.768 0.000 0.000
0.000 5.768 0.000
0.000 0.000 5.768
I Na Br
1 3 1
Cartesian
2.884 2.884 2.884
0.000 2.884 0.000
2.884 0.000 0.000
0.000 0.000 2.884
0.000 0.000 0.000


(B)
Na3IBr, relaxed, DFT PBE-GGA; space group = Pm-3m (221); density = 2048 kg/m³
1.0
-4.599 0.557 -3.922
2.710 -3.941 -3.737
-2.889 -4.583 2.737
Na Br I
3 1 1
Cartesian
1.355 -1.970 -1.869
-2.299 0.279 -1.961
-1.445 -2.291 1.369
-2.389 -3.983 -2.461
0.000 0.000 0.000


(A) is the most stable structure; the next one sits 15.6 kJ/mol of atoms above it.


(A)
NaI3Br, relaxed, DFT PBE-GGA; space group = Pm-3m (221); density = 3684 kg/m³
1.0
-4.399 4.107 0.037
-4.105 -4.396 -0.215
-0.120 -0.183 6.014
I Na Br
3 1 1
Cartesian
-0.060 -0.091 3.007
-2.053 -2.198 -0.108
-2.200 2.053 0.019
0.000 0.000 0.000
-4.312 -0.236 2.918


(B)
NaI3Br, relaxed, DFT PBE-GGA; space group = Pm-3m (221); density = 3660 kg/m³
1.0
-1.733 3.200 4.810
2.244 -4.255 3.639
5.324 2.835 0.032
I Na Br
3 1 1
Cartesian
1.122 -2.127 1.820
-0.866 1.600 2.405
2.662 1.417 0.016
2.917 0.890 4.240
0.000 0.000 0.000


(B) is the most stable structure; the next one sits 23.5 kJ/mol of atoms above it.


(A)
NaIBr2, relaxed, DFT PBE-GGA; space group = R-3m (166); density = 3248 kg/m³
1.0
4.192 1.223 7.518
7.453 1.665 4.156
4.603 5.272 5.158
I Na Br
1 1 2
Cartesian
0.000 0.000 0.000
8.124 4.080 8.416
14.453 7.258 14.972
1.796 0.902 1.860


(B)
NaIBr2, relaxed, DFT PBE-GGA; space group = Pna2_1 (33); density = 3046 kg/m³
1.0
-5.976 3.465 -1.348
0.651 -1.191 -5.944
-8.141 -13.348 1.782
I Br Na
4 8 4
Cartesian
-4.414 -0.011 -4.300
-3.629 -5.353 -3.143
-10.019 -5.389 -0.709
-9.233 -10.731 0.447
-5.735 -5.119 -1.424
-5.639 -9.444 -1.518
-8.014 -13.238 -3.174
-3.501 -2.057 -5.891
-9.709 -9.485 -1.955
-7.571 -2.098 -6.328
-7.677 -6.053 -4.576
-5.398 2.066 -2.826
-0.722 -2.746 -5.171
-7.678 -7.341 -1.885
-12.545 -8.691 -2.148
-5.590 -4.096 -5.434


(A) is the most stable structure; the next one sits 2.2 kJ/mol of atoms above it.